! HfCuReBi PBE-GGA relaxed; values from VASP
&SYSTEM
  ibrav = 0, nat = 4, ntyp = 4
/
ATOMIC_SPECIES
Bi 208.98 Bi.upf
Cu 63.55 Cu.upf
Hf 178.49 Hf.upf
Re 186.21 Re.upf
CELL_PARAMETERS angstrom
-1.055 -2.948 3.544
-0.358 1.647 4.419
-4.232 0.243 2.097
ATOMIC_POSITIONS angstrom
Bi 0.000 0.000 0.000
Cu -4.234 -0.794 7.545
Hf -1.411 -0.265 2.515
Re -2.823 -0.529 5.030
! Offset from the most stable computed form   227 meV per atom
! Final energy   -6.92 eV per atom

---

! HfCuReBi PBE-GGA relaxed; values from VASP
&SYSTEM
  ibrav = 0, nat = 4, ntyp = 4
/
ATOMIC_SPECIES
Bi 208.98 Bi.upf
Cu 63.55 Cu.upf
Hf 178.49 Hf.upf
Re 186.21 Re.upf
CELL_PARAMETERS angstrom
-0.070 -4.063 -2.368
-3.423 -3.126 0.795
-3.295 -0.761 -3.268
ATOMIC_POSITIONS angstrom
Bi 0.000 0.000 0.000
Cu -5.091 -5.963 -3.631
Hf -3.394 -3.975 -2.421
Re -1.697 -1.988 -1.210
! Offset from the most stable computed form   0 meV per atom
! Final energy   -7.15 eV per atom

---

! HfTaCuBi PBE-GGA relaxed; values from VASP
&SYSTEM
  ibrav = 0, nat = 4, ntyp = 4
/
ATOMIC_SPECIES
Bi 208.98 Bi.upf
Cu 63.55 Cu.upf
Hf 178.49 Hf.upf
Ta 180.95 Ta.upf
CELL_PARAMETERS angstrom
2.114 -4.075 -1.498
2.780 -2.533 3.029
-1.519 -4.266 1.677
ATOMIC_POSITIONS angstrom
Bi 0.000 0.000 0.000
Cu 2.531 -8.156 2.407
Hf 1.687 -5.437 1.604
Ta 0.844 -2.718 0.802
! Offset from the most stable computed form   0 meV per atom
! Final energy   -6.82 eV per atom

---

! YHfCuBi PBE-GGA relaxed; values from VASP
&SYSTEM
  ibrav = 0, nat = 4, ntyp = 4
/
ATOMIC_SPECIES
Bi 208.98 Bi.upf
Cu 63.55 Cu.upf
Hf 178.49 Hf.upf
Y 88.91 Y.upf
CELL_PARAMETERS angstrom
-2.891 0.437 4.157
-4.336 2.645 -0.187
-4.464 -2.416 0.256
ATOMIC_POSITIONS angstrom
Bi 0.000 0.000 0.000
Cu -8.768 0.500 3.169
Hf -2.923 0.167 1.056
Y -5.845 0.333 2.113
! Offset from the most stable computed form   0 meV per atom
! Final energy   -5.67 eV per atom

---

! CuHgBi2 PBE-GGA relaxed; values from VASP
&SYSTEM
  ibrav = 0, nat = 4, ntyp = 3
/
ATOMIC_SPECIES
Bi 208.98 Bi.upf
Cu 63.55 Cu.upf
Hg 200.59 Hg.upf
CELL_PARAMETERS angstrom
-4.472 -2.765 0.518
-4.330 2.320 1.943
-4.107 1.002 -3.168
ATOMIC_POSITIONS angstrom
Bi 0.000 0.000 0.000
Bi -9.681 0.419 -0.530
Cu -3.227 0.140 -0.177
Hg -6.454 0.279 -0.353
! Final energy   -2.69 eV per atom

---

! Cu2HgBi PBE-GGA relaxed; values from VASP
&SYSTEM
  ibrav = 0, nat = 4, ntyp = 3
/
ATOMIC_SPECIES
Bi 208.98 Bi.upf
Cu 63.55 Cu.upf
Hg 200.59 Hg.upf
CELL_PARAMETERS angstrom
0.000 3.423 3.423
3.423 0.000 3.423
3.423 3.423 0.000
ATOMIC_POSITIONS angstrom
Bi 3.423 3.423 3.423
Cu 0.000 0.000 0.000
Cu 5.134 5.134 5.134
Hg 1.711 1.711 1.711
! Offset from the most stable computed form   159 meV per atom
! Final energy   -2.49 eV per atom

---

! CuHgBiIr PBE-GGA relaxed; values from VASP
&SYSTEM
  ibrav = 0, nat = 4, ntyp = 4
/
ATOMIC_SPECIES
Bi 208.98 Bi.upf
Cu 63.55 Cu.upf
Hg 200.59 Hg.upf
Ir 192.22 Ir.upf
CELL_PARAMETERS angstrom
0.000 3.362 3.362
3.362 0.000 3.362
3.362 3.362 0.000
ATOMIC_POSITIONS angstrom
Bi 0.000 0.000 0.000
Cu 5.043 5.043 5.043
Hg 3.362 3.362 3.362
Ir 1.681 1.681 1.681
! Offset from the most stable computed form   0 meV per atom
! Final energy   -3.83 eV per atom

---

! CuHgBiIr PBE-GGA relaxed; values from VASP
&SYSTEM
  ibrav = 0, nat = 4, ntyp = 4
/
ATOMIC_SPECIES
Bi 208.98 Bi.upf
Cu 63.55 Cu.upf
Hg 200.59 Hg.upf
Ir 192.22 Ir.upf
CELL_PARAMETERS angstrom
0.000 3.385 3.385
3.385 0.000 3.385
3.385 3.385 0.000
ATOMIC_POSITIONS angstrom
Bi 0.000 0.000 0.000
Cu 5.078 5.078 5.078
Hg 1.693 1.693 1.693
Ir 3.385 3.385 3.385
! Offset from the most stable computed form   179 meV per atom
! Final energy   -3.65 eV per atom

---

! LiCuHgBi PBE-GGA relaxed; values from VASP
&SYSTEM
  ibrav = 0, nat = 4, ntyp = 4
/
ATOMIC_SPECIES
Bi 208.98 Bi.upf
Cu 63.55 Cu.upf
Hg 200.59 Hg.upf
Li 6.94 Li.upf
CELL_PARAMETERS angstrom
2.393 2.021 3.635
-2.391 2.346 3.436
-0.310 -1.867 4.409
ATOMIC_POSITIONS angstrom
Bi 0.000 0.000 0.000
Cu -0.077 0.625 2.870
Hg -0.154 1.250 5.740
Li -0.231 1.875 8.610
! Offset from the most stable computed form   0 meV per atom
! Final energy   -2.55 eV per atom

---

! MgCuHgBi PBE-GGA relaxed; values from VASP
&SYSTEM
  ibrav = 0, nat = 4, ntyp = 4
/
ATOMIC_SPECIES
Bi 208.98 Bi.upf
Cu 63.55 Cu.upf
Hg 200.59 Hg.upf
Mg 24.30 Mg.upf
CELL_PARAMETERS angstrom
0.000 3.551 3.551
3.551 0.000 3.551
3.551 3.551 0.000
ATOMIC_POSITIONS angstrom
Bi 0.000 0.000 0.000
Cu 5.327 5.327 5.327
Hg 1.776 1.776 1.776
Mg 3.551 3.551 3.551
! Offset from the most stable computed form   65 meV per atom
! Final energy   -2.25 eV per atom

---

! MgCuHgBi PBE-GGA relaxed; values from VASP
&SYSTEM
  ibrav = 0, nat = 4, ntyp = 4
/
ATOMIC_SPECIES
Bi 208.98 Bi.upf
Cu 63.55 Cu.upf
Hg 200.59 Hg.upf
Mg 24.30 Mg.upf
CELL_PARAMETERS angstrom
2.450 -3.638 -2.346
0.198 -4.552 1.994
-2.517 -3.744 -2.095
ATOMIC_POSITIONS angstrom
Bi 0.000 0.000 0.000
Cu 0.098 -8.951 -1.835
Hg 0.065 -5.967 -1.223
Mg 0.033 -2.984 -0.612
! Offset from the most stable computed form   0 meV per atom
! Final energy   -2.32 eV per atom

---

! CuHgBiMo PBE-GGA relaxed; values from VASP
&SYSTEM
  ibrav = 0, nat = 4, ntyp = 4
/
ATOMIC_SPECIES
Bi 208.98 Bi.upf
Cu 63.55 Cu.upf
Hg 200.59 Hg.upf
Mo 95.94 Mo.upf
CELL_PARAMETERS angstrom
0.000 3.469 3.469
3.469 0.000 3.469
3.469 3.469 0.000
ATOMIC_POSITIONS angstrom
Bi 0.000 0.000 0.000
Cu 5.204 5.204 5.204
Hg 1.735 1.735 1.735
Mo 3.469 3.469 3.469
! Offset from the most stable computed form   128 meV per atom
! Final energy   -3.89 eV per atom

---

! CuHgBiMo PBE-GGA relaxed; values from VASP
&SYSTEM
  ibrav = 0, nat = 4, ntyp = 4
/
ATOMIC_SPECIES
Bi 208.98 Bi.upf
Cu 63.55 Cu.upf
Hg 200.59 Hg.upf
Mo 95.94 Mo.upf
CELL_PARAMETERS angstrom
4.705 -0.756 0.432
1.603 -4.108 1.856
2.176 -3.206 -2.807
ATOMIC_POSITIONS angstrom
Bi 0.000 0.000 0.000
Cu 6.362 -6.052 -0.389
Hg 4.242 -4.035 -0.259
Mo 2.121 -2.017 -0.130
! Offset from the most stable computed form   0 meV per atom
! Final energy   -4.01 eV per atom

---

! NbCuHgBi PBE-GGA relaxed; values from VASP
&SYSTEM
  ibrav = 0, nat = 4, ntyp = 4
/
ATOMIC_SPECIES
Bi 208.98 Bi.upf
Cu 63.55 Cu.upf
Hg 200.59 Hg.upf
Nb 92.91 Nb.upf
CELL_PARAMETERS angstrom
3.813 -1.378 2.712
-0.591 -3.304 3.539
1.863 -4.479 -0.509
ATOMIC_POSITIONS angstrom
Bi 0.000 0.000 0.000
Cu 3.814 -6.871 4.307
Hg 2.542 -4.581 2.871
Nb 1.271 -2.290 1.436
! Offset from the most stable computed form   0 meV per atom
! Final energy   -4.00 eV per atom

---

! NbCuHgBi PBE-GGA relaxed; values from VASP
&SYSTEM
  ibrav = 0, nat = 4, ntyp = 4
/
ATOMIC_SPECIES
Bi 208.98 Bi.upf
Cu 63.55 Cu.upf
Hg 200.59 Hg.upf
Nb 92.91 Nb.upf
CELL_PARAMETERS angstrom
-1.046 -3.018 3.784
-4.035 0.794 2.758
-3.851 -3.099 -0.297
ATOMIC_POSITIONS angstrom
Bi 0.000 0.000 0.000
Cu -6.699 -3.992 4.684
Hg -2.233 -1.331 1.561
Nb -4.466 -2.661 3.122
! Offset from the most stable computed form   134 meV per atom
! Final energy   -3.87 eV per atom

---

! CuHgBiOs PBE-GGA relaxed; values from VASP
&SYSTEM
  ibrav = 0, nat = 4, ntyp = 4
/
ATOMIC_SPECIES
Bi 208.98 Bi.upf
Cu 63.55 Cu.upf
Hg 200.59 Hg.upf
Os 190.23 Os.upf
CELL_PARAMETERS angstrom
-1.829 3.389 2.765
-0.526 4.402 -1.679
-4.337 1.697 -0.885
ATOMIC_POSITIONS angstrom
Bi 0.000 0.000 0.000
Cu -1.673 2.372 0.050
Hg -3.347 4.744 0.101
Os -5.020 7.115 0.151
! Offset from the most stable computed form   0 meV per atom
! Final energy   -4.06 eV per atom

---

! CuHgBiOs PBE-GGA relaxed; values from VASP
&SYSTEM
  ibrav = 0, nat = 4, ntyp = 4
/
ATOMIC_SPECIES
Bi 208.98 Bi.upf
Cu 63.55 Cu.upf
Hg 200.59 Hg.upf
Os 190.23 Os.upf
CELL_PARAMETERS angstrom
0.000 3.382 3.382
3.382 0.000 3.382
3.382 3.382 0.000
ATOMIC_POSITIONS angstrom
Bi 0.000 0.000 0.000
Cu 1.691 1.691 1.691
Hg 5.072 5.072 5.072
Os 3.382 3.382 3.382
! Offset from the most stable computed form   231 meV per atom
! Final energy   -3.82 eV per atom

---

! CuHgBiPt PBE-GGA relaxed; values from VASP
&SYSTEM
  ibrav = 0, nat = 4, ntyp = 4
/
ATOMIC_SPECIES
Bi 208.98 Bi.upf
Cu 63.55 Cu.upf
Hg 200.59 Hg.upf
Pt 195.08 Pt.upf
CELL_PARAMETERS angstrom
0.000 3.408 3.408
3.408 0.000 3.408
3.408 3.408 0.000
ATOMIC_POSITIONS angstrom
Bi 0.000 0.000 0.000
Cu 1.704 1.704 1.704
Hg 3.408 3.408 3.408
Pt 5.113 5.113 5.113
! Offset from the most stable computed form   0 meV per atom
! Final energy   -3.37 eV per atom

---

! CuReHgBi PBE-GGA relaxed; values from VASP
&SYSTEM
  ibrav = 0, nat = 4, ntyp = 4
/
ATOMIC_SPECIES
Bi 208.98 Bi.upf
Cu 63.55 Cu.upf
Hg 200.59 Hg.upf
Re 186.21 Re.upf
CELL_PARAMETERS angstrom
-2.311 -1.733 3.881
0.390 2.263 4.259
-3.790 2.389 1.826
ATOMIC_POSITIONS angstrom
Bi 0.000 0.000 0.000
Cu -1.428 0.730 2.491
Hg -4.284 2.189 7.474
Re -2.856 1.460 4.983
! Offset from the most stable computed form   257 meV per atom
! Final energy   -3.96 eV per atom

---

! CuReHgBi PBE-GGA relaxed; values from VASP
&SYSTEM
  ibrav = 0, nat = 4, ntyp = 4
/
ATOMIC_SPECIES
Bi 208.98 Bi.upf
Cu 63.55 Cu.upf
Hg 200.59 Hg.upf
Re 186.21 Re.upf
CELL_PARAMETERS angstrom
0.000 3.357 3.357
3.357 0.000 3.357
3.357 3.357 0.000
ATOMIC_POSITIONS angstrom
Bi 0.000 0.000 0.000
Cu 1.678 1.678 1.678
Hg 3.357 3.357 3.357
Re 5.035 5.035 5.035
! Offset from the most stable computed form   0 meV per atom
! Final energy   -4.21 eV per atom